PmInSn2I8 (GGA-PBE, relaxed); spin magnetization = 0.0 μB per formula unit; formation energy from raw total energies = -0.7625 eV/atom
1.0
7.3591 0.0000 0.0000
0.1235 7.8058 0.0000
0.0074 0.0030 9.5697
Pm In Sn I
1 1 2 8
Cartesian
0.0000 0.0000 0.0000
0.0037 0.0015 4.7849
3.7433 3.9032 2.4295
3.7466 3.9056 7.1403
1.8313 2.5647 0.0002
1.9307 6.5641 2.2058
1.9364 6.5679 7.3631
2.0376 2.7888 4.7870
5.4523 5.0201 4.7828
5.5535 1.2409 2.2067
5.5592 1.2447 7.3639
5.6586 5.2442 9.5695